Record 1
# Tl2TeAu PBE relaxed
data_Tl2TeAu
_chemical_formula_sum 'Tl2 Te1 Au1'
_symmetry_space_group_name_H-M 'P 1'
_symmetry_Int_Tables_number 1
_cell_length_a 7.445
_cell_length_b 7.445
_cell_length_c 7.445
_cell_angle_alpha 148.77
_cell_angle_beta 146.06
_cell_angle_gamma 46.78
loop_
_symmetry_equiv_pos_as_xyz
'x,y,z'
loop_
_atom_site_label
_atom_site_fract_x
_atom_site_fract_y
_atom_site_fract_z
Au1 0.750 0.250 0.500
Te1 0.250 0.750 0.500
Tl1 0.933 0.933 0.000
Tl2 0.567 0.567 0.000
# Offset from the most stable computed form   5.5 kJ/mol of atoms
# Electronic total energy   -0.2093 Ry per atom
# Space-group type   Immm, No. 71
# Magnetic moment   0.00 μB per formula unit

Record 2
# TlTe2Au2 PBE relaxed
data_TlTe2Au2
_chemical_formula_sum 'Tl2 Te4 Au4'
_symmetry_space_group_name_H-M 'P 1'
_symmetry_Int_Tables_number 1
_cell_length_a 8.320
_cell_length_b 8.320
_cell_length_c 3.687
_cell_angle_alpha 90.00
_cell_angle_beta 90.00
_cell_angle_gamma 90.00
loop_
_symmetry_equiv_pos_as_xyz
'x,y,z'
loop_
_atom_site_label
_atom_site_fract_x
_atom_site_fract_y
_atom_site_fract_z
Tl1 0.000 0.000 0.000
Tl2 0.500 0.500 0.000
Te1 0.186 0.686 0.500
Te2 0.686 0.814 0.500
Te3 0.814 0.314 0.500
Te4 0.314 0.186 0.500
Au1 0.380 0.880 0.000
Au2 0.880 0.620 0.000
Au3 0.620 0.120 0.000
Au4 0.120 0.380 0.000
# Offset from the most stable computed form   16.8 kJ/mol of atoms
# Electronic total energy   -0.2200 Ry per atom
# Space-group type   P4/mbm, No. 127
# Magnetic moment   0.00 μB per formula unit

no.,formation energy without anion corrections (eV per atom)
1,-0.0600
2,0.0474